Compound: ScTi2HgC
Source: Alexandria via LeMat-Bulk
Functional: PBE-GGA
Structure: relaxed

abc: 5.323 5.323 3.923
angles: 90.00 90.00 90.00
Element x y z (fractional)
Sc (0.000, 0.000, 0.000)
Ti (0.000, 0.500, 0.500)
Ti (0.500, 0.000, 0.500)
Hg (0.500, 0.500, 0.500)
C (0.500, 0.500, 0.000)

Summary:
As for the symmetry: P4/mmm. The mass density comes out at 5.28 g cm⁻³. Its energy of formation is 158.5 kJ/mol of atoms. The density of states at the Fermi level is 1.235 states/eV/atom.